VASP calculation (PBE) on crystalline SrPbS2 at its relaxed geometry.

Values from the calculation:
uncorrected formation energy	-1355	meV per atom

a = 4.263 Å, b = 4.262 Å, c = 12.081 Å
α = 90.00°, β = 90.00°, γ = 90.00°
Fractional coordinates of all 8 atoms:
Sr  0.000  0.001  0.000
Sr  0.000  0.999  0.500
Pb  0.500  0.499  0.252
Pb  0.500  0.501  0.752
S  0.000  0.001  0.250
S  0.000  0.999  0.750
S  0.500  0.499  0.498
S  0.500  0.501  0.998